Density functional theory data (PBE-GGA) for a geometry-optimized TaAlRe2 structure.

Cell lengths 3.1763, 4.5468, 8.6312 Å; angles 90.00, 90.00, 90.00 degrees
Last column: nearest neighbours and their distance in Å.
Space group Immm (No. 71)
Asymmetric unit:
Ta 0.0000 0.0000 0.0000  4 Re 2.66, 4 Al 2.77
Al 0.0000 0.0000 0.5000  4 Re 2.70, 4 Ta 2.77
Re 0.0000 0.5000 0.2526  2 Ta 2.66, 2 Al 2.70, 4 Re 2.77

## Properties
Energy of formation from the pure elements, eV per atom: -0.13
Total magnetic moment, μB/cell: 0.0